GdDyZr PBE-GGA optimized geometry; D(E_F) = 3.99 states/eV/cell; crystal system = trigonal; energy = -26.94 eV per cell; formation enthalpy at 0 K = 0.10 eV per atom; magnetization = 7.23 μB/f.u.; ΔE to the lowest computed polymorph = 0.016 eV/atom
1.0
-2.455 1.067 -2.120
-0.812 -1.148 3.112
0.741 7.837 3.085
Dy Gd Zr
1 1 1
direct
0.667 0.333 0.314
0.333 0.667 0.685
0.000 0.000 0.001